DFT (PBE) results for an optimized crystal structure of Sr2HoAg2S4.

Cell lengths 3.9217, 7.6525, 8.0571 Å; angles 116.23, 104.09, 90.00 degrees
Sites, in units of the cell vectors:
Sr 0.1389 0.5750 0.2777
Sr 0.8611 0.4250 0.7223
Ho 0.0000 0.0000 0.0000
Ag 0.6836 0.0034 0.3672
Ag 0.3164 0.9966 0.6328
S 0.1936 0.2520 0.3872
S 0.8064 0.7480 0.6128
S 0.5078 0.7433 0.0155
S 0.4922 0.2567 0.9845

Values from the calculation:
**Raw formation energy**: -1335 meV/atom
**Total moment**: 0.0 μB per formula unit